# 1
Cu2SiS3 | PBEsol | optimized geometry

It has space group Cc (No. 9), with a = 6.2620 Å, b = 10.9963 Å, c = 6.2577 Å, α = 90.00°, β = 108.64° and γ = 90.00°. Symmetry generates all atoms from Cu at (0.0000, 0.0867, 0.0000), Cu at (0.0012, 0.2561, 0.4985), Si at (0.0224, 0.4147, 0.0212), S at (0.3770, 0.4151, 0.1190), S at (0.3821, 0.2411, 0.6201) and S at (0.3850, 0.0768, 0.1433).

The calculation puts the formation energy (no corrections) at -484 meV per atom. The value obtained for the calculated total energy is -5.08 eV/atom.

=====

# 2
LiMgTa2 | PBEsol | optimized geometry

It has space group Cmm2 (No. 35), with a = 3.3366 Å, b = 4.5748 Å, c = 9.6614 Å, α = 90.00°, β = 90.00° and γ = 90.00°. Symmetry generates all atoms from Li at (0.0000, 0.0000, 0.0000), Mg at (0.0000, 0.5000, 0.2612), Ta at (0.0000, 0.0000, 0.5172) and Ta at (0.0000, 0.5000, 0.7441).

For the energy of formation, the calculation gives 0.18 eV per atom. The value obtained for the calculated total energy is -7.02 eV/atom.

=====

# 3
FeCo | PBEsol | optimized geometry

It has space group P4/nmm (No. 129, origin choice 2), with a = 2.7726 Å, b = 2.7726 Å, c = 5.6633 Å, α = 90.00°, β = 90.00° and γ = 90.00°. Symmetry generates all atoms from Fe at (0.2500, 0.2500, 0.1296) and Co at (0.2500, 0.2500, 0.6288).

For the energy of formation, the calculation gives 0.03 eV per atom. The value obtained for the calculated total energy is -8.32 eV/atom.

=====

# 4
CoAgBr2 | PBEsol | optimized geometry

It has space group R-3m (No. 166, hexagonal axes), with a = 3.5934 Å, b = 3.5934 Å, c = 20.9902 Å, α = 90.00°, β = 90.00° and γ = 120.00°. Symmetry generates all atoms from Co at (0.0000, 0.0000, 0.0000), Ag at (0.0000, 0.0000, 0.5000) and Br at (0.0000, 0.0000, 0.2642).

For the energy above the most stable polymorph in this dataset, the calculation gives 65 meV per atom. The calculation puts the formation energy (no corrections) at 95 meV per atom. The value obtained for the calculated total energy is -3.60 eV/atom.

=====

# 5
GaAgH2Pb | PBEsol | optimized geometry

It has space group P4/mmm (No. 123), with a = 3.9159 Å, b = 3.9159 Å, c = 5.6739 Å, α = 90.00°, β = 90.00° and γ = 90.00°. Symmetry generates all atoms from Ga at (0.0000, 0.0000, 0.0000), Ag at (0.5000, 0.5000, 0.0000), H at (0.0000, 0.5000, 0.5000) and Pb at (0.5000, 0.5000, 0.5000).

The value obtained for the calculated total energy is -3.00 eV/atom.

=====

# 6
PdIBr3 | PBEsol | optimized geometry

It has space group Pm-3m (No. 221), with a = 5.6111 Å, b = 5.6111 Å, c = 5.6111 Å, α = 90.00°, β = 90.00° and γ = 90.00°. Symmetry generates all atoms from Pd at (0.0000, 0.0000, 0.0000), I at (0.5000, 0.5000, 0.5000) and Br at (0.0000, 0.5000, 0.5000).

The calculation puts the formation energy (no corrections) at 682 meV per atom. The value obtained for the calculated total energy is -1.99 eV/atom.

=====

# 7
Li2CuF4 | PBEsol | optimized geometry

It has space group Cmce (No. 64), with a = 8.3214 Å, b = 5.7297 Å, c = 5.7276 Å, α = 90.00°, β = 90.00° and γ = 90.00°. Symmetry generates all atoms from Li at (0.2500, 0.2483, 0.2500), Cu at (0.0000, 0.0000, 0.0000), F at (0.0000, 0.2392, 0.2389) and F at (0.2336, 0.0000, 0.0000).

For the energy above the most stable polymorph in this dataset, the calculation gives 10 meV per atom. The calculation puts the formation energy (no corrections) at -2316 meV per atom. The value obtained for the calculated total energy is -4.60 eV/atom.

=====

# 8
Be2TcHgRu | PBEsol | optimized geometry

It has space group P4/mmm (No. 123), with a = 4.1626 Å, b = 4.1626 Å, c = 4.9785 Å, α = 90.00°, β = 90.00° and γ = 90.00°. Symmetry generates all atoms from Be at (0.0000, 0.5000, 0.0000), Tc at (0.0000, 0.0000, 0.5000), Hg at (0.5000, 0.5000, 0.0000) and Ru at (0.5000, 0.5000, 0.5000).

For the energy of formation, the calculation gives 1.79 eV per atom. The value obtained for the calculated total energy is -4.21 eV/atom.

=====

# 9
ZnPtC2Se | PBEsol | optimized geometry

It has space group P4/mmm (No. 123), with a = 3.8234 Å, b = 3.8234 Å, c = 4.9823 Å, α = 90.00°, β = 90.00° and γ = 90.00°. Symmetry generates all atoms from Zn at (0.0000, 0.0000, 0.0000), Pt at (0.5000, 0.5000, 0.0000), C at (0.0000, 0.5000, 0.5000) and Se at (0.5000, 0.5000, 0.5000).

The calculation puts the formation energy (no corrections) at 2136 meV per atom. The value obtained for the calculated total energy is -4.20 eV/atom.

=====

# 10
LiPSe2 | PBEsol | optimized geometry

It has space group Imm2 (No. 44), with a = 3.4167 Å, b = 3.6848 Å, c = 11.9607 Å, α = 90.00°, β = 90.00° and γ = 90.00°. Symmetry generates all atoms from Li at (0.0000, 0.0000, 0.0000), P at (0.0000, 0.5000, 0.7588), Se at (0.0000, 0.0000, 0.4115) and Se at (0.0000, 0.5000, 0.1713).

The calculation puts the formation energy (no corrections) at -222 meV per atom. The value obtained for the calculated total energy is -4.09 eV/atom.

=====

# 11
LaTa3P | PBEsol | optimized geometry

It has space group Pm-3m (No. 221), with a = 4.8481 Å, b = 4.8481 Å, c = 4.8481 Å, α = 90.00°, β = 90.00° and γ = 90.00°. Symmetry generates all atoms from La at (0.0000, 0.0000, 0.0000), Ta at (0.0000, 0.0000, 0.5000) and P at (0.5000, 0.5000, 0.5000).

For the energy of formation, the calculation gives 2.49 eV per atom. The value obtained for the calculated total energy is -7.26 eV/atom.

=====

# 12
K2NiPb | PBEsol | optimized geometry

It has space group P4mm (No. 99), with a = 3.6167 Å, b = 3.6167 Å, c = 10.0239 Å, α = 90.00°, β = 90.00° and γ = 90.00°. Symmetry generates all atoms from K at (0.0000, 0.0000, 0.0000), K at (0.5000, 0.5000, 0.4151), Ni at (0.0000, 0.0000, 0.6634) and Pb at (0.5000, 0.5000, 0.7477).

For the energy of formation, the calculation gives 0.19 eV per atom. The value obtained for the calculated total energy is -2.91 eV/atom.

=====

# 13
BaZrMo3 | PBEsol | optimized geometry

It has space group Pm-3m (No. 221), with a = 4.9312 Å, b = 4.9312 Å, c = 4.9312 Å, α = 90.00°, β = 90.00° and γ = 90.00°. Symmetry generates all atoms from Ba at (0.0000, 0.0000, 0.0000), Zr at (0.5000, 0.5000, 0.5000) and Mo at (0.0000, 0.5000, 0.5000).

For the energy of formation, the calculation gives 1.82 eV per atom. The value obtained for the calculated total energy is -7.49 eV/atom.

=====

# 14
GaHS2Cl | PBEsol | optimized geometry

It has space group P4/mmm (No. 123), with a = 4.6398 Å, b = 4.6398 Å, c = 4.9031 Å, α = 90.00°, β = 90.00° and γ = 90.00°. Symmetry generates all atoms from Ga at (0.0000, 0.0000, 0.0000), H at (0.5000, 0.5000, 0.5000), S at (0.0000, 0.5000, 0.0000) and Cl at (0.0000, 0.0000, 0.5000).

The value obtained for the calculated total energy is -2.86 eV/atom.

=====

# 15
CaLaY2 | PBEsol | optimized geometry

It has space group Pmm2 (No. 25), with a = 3.5824 Å, b = 5.1042 Å, c = 7.3238 Å, α = 90.00°, β = 90.00° and γ = 90.00°. Symmetry generates all atoms from Ca at (0.0000, 0.0000, 0.0000), La at (0.5000, 0.5000, 0.2718), Y at (0.0000, 0.0000, 0.5077) and Y at (0.5000, 0.5000, 0.7365).

For the energy above the most stable polymorph in this dataset, the calculation gives 22 meV per atom. For the energy of formation, the calculation gives 0.09 eV per atom. The value obtained for the calculated total energy is -5.20 eV/atom.

=====

# 16
MgTi2Ge2 | PBEsol | optimized geometry

It has space group I4/mmm (No. 139), with a = 3.7079 Å, b = 3.7079 Å, c = 13.1950 Å, α = 90.00°, β = 90.00° and γ = 90.00°. Symmetry generates all atoms from Mg at (0.0000, 0.0000, 0.0000), Ti at (0.0000, 0.0000, 0.3956) and Ge at (0.0000, 0.5000, 0.2500).

For the energy of formation, the calculation gives 0.01 eV per atom. The value obtained for the calculated total energy is -5.64 eV/atom.

=====

# 17
TiAs2O7 | PBEsol | optimized geometry

It has space group P2_1/c (No. 14), with a = 5.1508 Å, b = 12.9818 Å, c = 9.6782 Å, α = 90.00°, β = 120.96° and γ = 90.00°. Symmetry generates all atoms from Ti at (0.1392, 0.1538, 0.3451), As at (0.2696, 0.6893, 0.5613), As at (0.3760, 0.0153, 0.6882), O at (0.0324, 0.1796, 0.1273), O at (0.1353, 0.5341, 0.2406), O at (0.1844, 0.7409, 0.1802), O at (0.2212, 0.1169, 0.5617), O at (0.3118, 0.5605, 0.6302), O at (0.4023, 0.2239, 0.9254) and O at (0.4853, 0.0746, 0.3829).

For the energy above the most stable polymorph in this dataset, the calculation gives 0 meV per atom. The calculation puts the formation energy (no corrections) at -1701 meV per atom. The value obtained for the calculated total energy is -7.23 eV/atom.

=====

# 18
Y2TlOs | PBEsol | optimized geometry

It has space group P4/mmm (No. 123), with a = 3.4007 Å, b = 3.4007 Å, c = 7.8738 Å, α = 90.00°, β = 90.00° and γ = 90.00°. Symmetry generates all atoms from Y at (0.0000, 0.0000, 0.2082), Tl at (0.5000, 0.5000, 0.5000) and Os at (0.5000, 0.5000, 0.0000).

For the energy above the most stable polymorph in this dataset, the calculation gives 0 meV per atom. For the energy of formation, the calculation gives -0.34 eV per atom. The value obtained for the calculated total energy is -7.46 eV/atom.

=====

# 19
Li2CoCI | PBEsol | optimized geometry

It has space group P4/mmm (No. 123), with a = 5.0577 Å, b = 5.0577 Å, c = 4.2830 Å, α = 90.00°, β = 90.00° and γ = 90.00°. Symmetry generates all atoms from Li at (0.0000, 0.5000, 0.0000), Co at (0.0000, 0.0000, 0.5000), C at (0.5000, 0.5000, 0.5000) and I at (0.5000, 0.5000, 0.0000).

The calculation puts the formation energy (no corrections) at 1705 meV per atom. The value obtained for the calculated total energy is -2.91 eV/atom.

=====

# 20
Ca7H12Cl2 | PBEsol | optimized geometry

It has space group P-6 (No. 174), with a = 9.1422 Å, b = 9.1422 Å, c = 3.6165 Å, α = 90.00°, β = 90.00° and γ = 120.00°. Symmetry generates all atoms from Ca at (0.0000, 0.0000, 0.0000), Ca at (0.1156, 0.3975, 0.5000), Ca at (0.4111, 0.3048, 0.0000), H at (0.0488, 0.6095, 0.5000), H at (0.1190, 0.8427, 0.0000), H at (0.2154, 0.1043, 0.5000), H at (0.4232, 0.0582, 0.0000), Cl at (0.3333, 0.6667, 0.0000) and Cl at (0.6667, 0.3333, 0.5000).

The value obtained for the calculated total energy is -3.66 eV/atom.

=====

no.,magnetic moment (Bohr magnetons per cell)
1,0.000
2,0.000
3,8.577
4,6.084
5,0.000
6,0.560
7,3.986
8,3.737
9,0.517
10,0.000
11,0.000
12,0.000
13,0.003
14,1.891
15,0.001
16,0.015
17,0.000
18,0.000
19,2.033
20,0.000